Entry from Alexandria: a relaxed structure of GaMo2PtPb (GGA-PBE).

CIF file:
```
data_GaMo2PtPb
_chemical_formula_sum 'Ga1 Mo2 Pt1 Pb1'
_cell_length_a 4.687
_cell_length_b 4.687
_cell_length_c 5.055
_cell_angle_alpha 90.00
_cell_angle_beta 90.00
_cell_angle_gamma 90.00
_symmetry_space_group_name_H-M 'P 4/m m m'
_symmetry_Int_Tables_number 123
_symmetry_space_group_name_Hall '-P 4 2'
loop_
_atom_site_label
_atom_site_type_symbol
_atom_site_fract_x
_atom_site_fract_y
_atom_site_fract_z
Ga1 Ga 0.000 0.000 0.000
Mo1 Mo 0.000 0.500 0.000
Pt1 Pt 0.500 0.500 0.500
Pb1 Pb 0.000 0.000 0.500
```

Values from the calculation:
DFT total energy ... -26.72 eV/f.u.
Energy relative to the elements ... 1.54 eV per atom
Density ... 9.93 g/cm³

Entry from Alexandria: a relaxed structure of SrSc3H (GGA-PBE).

CIF file:
```
data_SrSc3H
_chemical_formula_sum 'Sr1 Sc3 H1'
_cell_length_a 4.822
_cell_length_b 4.822
_cell_length_c 4.822
_cell_angle_alpha 90.00
_cell_angle_beta 90.00
_cell_angle_gamma 90.00
_symmetry_space_group_name_H-M 'P m -3 m'
_symmetry_Int_Tables_number 221
_symmetry_space_group_name_Hall '-P 4 2 3'
loop_
_atom_site_label
_atom_site_type_symbol
_atom_site_fract_x
_atom_site_fract_y
_atom_site_fract_z
Sr1 Sr 0.000 0.000 0.000
Sc1 Sc 0.000 0.500 0.500
H1 H 0.500 0.500 0.500
```

Values from the calculation:
DFT total energy ... -23.38 eV/f.u.
Density ... 3.31 g/cm³

Entry from Alexandria: a relaxed structure of BaPt (GGA-PBE).

CIF file:
```
data_BaPt
_chemical_formula_sum 'Ba6 Pt6'
_cell_length_a 4.5930
_cell_length_b 4.5930
_cell_length_c 25.2853
_cell_angle_alpha 90.00
_cell_angle_beta 90.00
_cell_angle_gamma 120.00
_symmetry_space_group_name_H-M 'R -3 m'
_symmetry_Int_Tables_number 166
_symmetry_space_group_name_Hall '-R 3 2"'
loop_
_atom_site_label
_atom_site_type_symbol
_atom_site_fract_x
_atom_site_fract_y
_atom_site_fract_z
Ba1 Ba 0.0000 0.0000 0.0812
Pt1 Pt 0.0000 0.0000 0.3332
```

Values from the calculation:
DFT total energy ... -9.31 eV/f.u.
Energy relative to the elements ... -0.67 eV per atom
Density ... 7.17 g/cm³

Entry from Alexandria: a relaxed structure of TaSiRuSe2 (GGA-PBE).

CIF file:
```
data_TaSiRuSe2
_chemical_formula_sum 'Ta1 Si1 Ru1 Se2'
_cell_length_a 4.718
_cell_length_b 4.718
_cell_length_c 4.978
_cell_angle_alpha 90.00
_cell_angle_beta 90.00
_cell_angle_gamma 90.00
_symmetry_space_group_name_H-M 'P 4/m m m'
_symmetry_Int_Tables_number 123
_symmetry_space_group_name_Hall '-P 4 2'
loop_
_atom_site_label
_atom_site_type_symbol
_atom_site_fract_x
_atom_site_fract_y
_atom_site_fract_z
Ta1 Ta 0.000 0.000 0.000
Si1 Si 0.500 0.500 0.000
Ru1 Ru 0.000 0.000 0.500
Se1 Se 0.000 0.500 0.500
```

Values from the calculation:
DFT total energy ... -28.49 eV/f.u.
Formation energy (no corrections) ... 1.01 eV per atom
Density ... 7.01 g/cm³

Among the records above, which one has the highest density? GaMo2PtPb

Please write out number 3 again, unchanged.
Entry from Alexandria: a relaxed structure of BaPt (GGA-PBE).

CIF file:
```
data_BaPt
_chemical_formula_sum 'Ba6 Pt6'
_cell_length_a 4.5930
_cell_length_b 4.5930
_cell_length_c 25.2853
_cell_angle_alpha 90.00
_cell_angle_beta 90.00
_cell_angle_gamma 120.00
_symmetry_space_group_name_H-M 'R -3 m'
_symmetry_Int_Tables_number 166
_symmetry_space_group_name_Hall '-R 3 2"'
loop_
_atom_site_label
_atom_site_type_symbol
_atom_site_fract_x
_atom_site_fract_y
_atom_site_fract_z
Ba1 Ba 0.0000 0.0000 0.0812
Pt1 Pt 0.0000 0.0000 0.3332
```

Values from the calculation:
DFT total energy ... -9.31 eV/f.u.
Energy relative to the elements ... -0.67 eV per atom
Density ... 7.17 g/cm³